An optimized crystal structure of ScNi2GeO6, computed with GGA+U.

Cell and atoms, written as POSCAR:
```
ScNi2GeO6
1.0
-3.862 3.178 -0.225
-2.105 1.563 4.319
1.017 5.111 1.615
O Sc Ni Ge
6 1 2 1
direct
0.220 0.946 0.232
0.718 0.120 0.767
0.588 0.221 0.248
0.121 0.392 0.767
0.406 0.706 0.759
0.945 0.606 0.228
0.806 0.814 0.572
0.522 0.521 0.435
0.014 0.011 0.966
0.322 0.326 0.040
```

Calculated total energy   -0.233 hartree per atom
Magnetic moment   3.00 Bohr magnetons per cell